# 1
A plane-wave DFT calculation with PBE was carried out for an optimized crystal structure of NaAgI3.

Calculated values
Energy above the most stable polymorph in this dataset   0.000 eV/atom

abc: 5.7065 16.7993 7.6567
angles: 90.00 90.00 90.00
With the nearest neighbours (Å) after each atom.
Space group Cmc2_1 (No. 36)
Unique sites:
Na 0.0000 0.1433 0.0000 [4 per cell]  6 I 3.17-3.54
Ag 0.0000 0.4239 0.0947 [4 per cell]  5 I 2.80-2.93
I 0.0000 0.0720 0.6088 [4 per cell]  2 Ag 2.86
I 0.0000 0.2813 0.2831 [4 per cell]  1 Ag 2.80
I 0.0000 0.4159 0.7126 [4 per cell]  2 Ag 2.84-2.93

=====

# 2
A plane-wave DFT calculation with PBE was carried out for an optimized crystal structure of Pr2Er8Mg.

Calculated values
Energy above the most stable polymorph in this dataset   0.000 eV/atom
Energy of formation   114 meV per atom

abc: 5.4811 7.7556 16.4543
angles: 90.00 90.00 90.00
With the nearest neighbours (Å) after each atom.
Space group Immm (No. 71)
Unique sites:
Pr 0.0000 0.0000 0.1970 [4 per cell]  10 Er 3.39-3.68
Er 0.0000 0.2241 0.0000 [4 per cell]  7 Er 3.48-3.54, 2 Mg 3.48, 2 Pr 3.68
Er 0.0000 0.2808 0.3656 [8 per cell]  1 Mg 3.10, 2 Pr 3.39, 1 Er 3.40
Er 0.0000 0.5000 0.1712 [4 per cell]  4 Pr 3.49-3.90, 8 Er 3.54-3.62
Mg 0.0000 0.0000 0.5000 [2 per cell]  8 Er 3.10-3.48

=====

# 3
A plane-wave DFT calculation with PBE was carried out for an optimized crystal structure of Dy5AlGa2.

Calculated values
Energy of formation   -429 meV per atom

abc: 7.6662 7.6662 14.2653
angles: 90.00 90.00 90.00
With the nearest neighbours (Å) after each atom.
Space group I4/mcm (No. 140)
Unique sites:
Dy 0.0000 0.0000 0.0000 [4 per cell]  4 Ga 3.05
Dy 0.1700 0.3300 0.1465 [16 per cell]  3 Ga 3.08, 2 Al 3.21, 1 Dy 3.42
Al 0.0000 0.0000 0.2500 [4 per cell]  10 Dy 3.21-3.57
Ga 0.1219 0.3781 0.5000 [8 per cell]  1 Ga 2.64

=====

# 4
A plane-wave DFT calculation with PBE was carried out for an optimized crystal structure of NaCuTe3.

Calculated values
Energy above the most stable polymorph in this dataset   0.006 eV/atom

abc: 6.7571 8.6247 5.5189
angles: 90.00 117.90 90.00
With the nearest neighbours (Å) after each atom.
Space group Cm (No. 8)
Unique sites:
Na 0.0000 0.0000 0.0000 [2 per cell]  1 Cu 3.00, 5 Te 3.22-3.34
Cu 0.4727 0.0000 0.4524 [2 per cell]  6 Te 2.68-2.86, 1 Na 3.00
Te 0.0162 0.5000 0.9943 [2 per cell]  2 Cu 2.68-2.86
Te 0.2694 0.2553 0.5048 [4 per cell]  2 Cu 2.68-2.83

=====

Calculated ρ, 4629, 7807, 7756, 5483 kg/m³ (same order as the records).